(1)
Material: NbFeBiOs
Method: DFT, PBE
State: optimized geometry

Summary:
The space group is No. 216.

Structure (POSCAR):
```
NbFeBiOs
1.0
-3.094 2.013 2.767
-2.366 3.676 -1.474
-4.505 -0.374 -0.920
Bi Fe Nb Os
1 1 1 1
Cartesian
0.000 0.000 0.000
-7.473 3.986 0.280
-2.491 1.329 0.093
-4.982 2.657 0.187
```

---

(2)
Material: NbFeBiOs
Method: DFT, PBE
State: optimized geometry

Summary:
The space group is No. 216.

Structure (POSCAR):
```
NbFeBiOs
1.0
-3.183 -1.218 3.080
-3.324 2.952 1.158
-4.325 -0.767 -1.347
Bi Fe Nb Os
1 1 1 1
Cartesian
0.000 0.000 0.000
-8.124 0.725 2.169
-5.416 0.483 1.446
-2.708 0.242 0.723
```

---

(3)
Material: NbFeBiPd
Method: DFT, PBE
State: optimized geometry

Summary:
The space group is No. 216.

Structure (POSCAR):
```
NbFeBiPd
1.0
0.000 3.245 3.245
3.245 0.000 3.245
3.245 3.245 0.000
Bi Fe Nb Pd
1 1 1 1
Cartesian
0.000 0.000 0.000
4.868 4.868 4.868
1.623 1.623 1.623
3.245 3.245 3.245
```

---

(4)
Material: NbFeBiPd
Method: DFT, PBE
State: optimized geometry

Summary:
The space group is No. 216.

Structure (POSCAR):
```
NbFeBiPd
1.0
1.760 -3.708 -2.060
-2.682 -2.674 -2.598
0.540 -0.055 -4.560
Bi Fe Nb Pd
1 1 1 1
Cartesian
0.000 0.000 0.000
-0.287 -4.827 -6.914
-0.191 -3.218 -4.609
-0.096 -1.609 -2.305
```

---

So what do the calculations give for excess energy over the best structure of this formula in the dataset? Going down the list: 153.0; 0.0; 34.7; 0.0 meV per atom.